Record 1
A relaxed structure of SmTmMg2Ag4. Source: Alexandria, functional PBE.

## Properties
- Theoretical density: 7.7 g/cm³
- Volume: 21.597 Å³/atom
- Size of the total moment: 0.0 μB per formula unit
- Formation energy: -0.2907 eV/atom

Cell: 4.9728 4.9728 8.5635 Å, 73.12 73.12 60.00°
Last column: nearest neighbours and their distance in Å.
Atoms (fractional coordinates):
Sm  0.0000  0.0000  0.0000  8 Ag 3.06-3.11
Tm  0.5000  0.5000  0.5000  8 Ag 2.96-3.02
Mg  0.7504  0.7504  0.7488  8 Ag 2.93-3.10
Mg  0.2496  0.2496  0.2512  8 Ag 2.93-3.10
Ag  0.3775  0.3775  0.8675  1 Tm 2.96, 4 Mg 3.03-3.10, 3 Sm 3.06
Ag  0.8716  0.8716  0.3853  4 Mg 2.93-3.07, 3 Tm 3.02, 1 Sm 3.11
Ag  0.1284  0.1284  0.6147  4 Mg 2.93-3.07, 3 Tm 3.02, 1 Sm 3.11
Ag  0.6225  0.6225  0.1325  1 Tm 2.96, 4 Mg 3.03-3.10, 3 Sm 3.06



Record 2
A relaxed structure of SmTmMgAg. Source: Alexandria, functional PBE.

## Properties
- Theoretical density: 7.3 g/cm³
- Volume: 25.772 Å³/atom
- Size of the total moment: 0.0 μB per formula unit
- Formation energy: -0.1394 eV/atom
- E above lowest polymorph: 42 meV/atom

Cell: 5.2631 5.2631 5.2631 Å, 60.00 60.00 60.00°
Last column: nearest neighbours and their distance in Å.
Atoms (fractional coordinates):
Mg  0.7500  0.7500  0.7500  4 Tm 3.22, 4 Sm 3.22
Tm  0.0000  0.0000  0.0000  4 Mg 3.22, 4 Ag 3.22
Ag  0.2500  0.2500  0.2500  4 Tm 3.22, 4 Sm 3.22
Sm  0.5000  0.5000  0.5000  4 Ag 3.22, 4 Mg 3.22



Record 3
A relaxed structure of SmTmMgAg. Source: Alexandria, functional PBE.

## Properties
- Theoretical density: 7.3 g/cm³
- Volume: 25.647 Å³/atom
- Size of the total moment: 0.0 μB per formula unit
- Formation energy: -0.1815 eV/atom
- E above lowest polymorph: 0 meV/atom

Cell: 3.7333 3.7333 7.3604 Å, 90.00 90.00 90.00°
Last column: nearest neighbours and their distance in Å.
Atoms (fractional coordinates):
Sm  0.0000  0.0000  0.8631  4 Ag 3.27, 4 Mg 3.29, 1 Tm 3.55
Tm  0.0000  0.0000  0.3451  4 Ag 3.10, 4 Mg 3.22
Mg  0.5000  0.5000  0.5954  4 Tm 3.22, 4 Sm 3.29, 1 Ag 3.47
Ag  0.5000  0.5000  0.1244  4 Tm 3.10, 4 Sm 3.27, 1 Mg 3.47



Record 4
A relaxed structure of SmTm2MgAg4. Source: Alexandria, functional PBE.

## Properties
- Theoretical density: 8.6 g/cm³
- Volume: 22.749 Å³/atom
- Size of the total moment: 0.0 μB per formula unit
- Formation energy: -0.2774 eV/atom

Cell: 5.0273 5.0273 8.8069 Å, 73.42 73.42 60.00°
Last column: nearest neighbours and their distance in Å.
Atoms (fractional coordinates):
Sm  0.0000  0.0000  0.0000  8 Ag 3.14
Tm  0.7537  0.7537  0.7390  8 Ag 3.01-3.36
Tm  0.2463  0.2463  0.2610  8 Ag 3.01-3.36
Mg  0.5000  0.5000  0.5000  8 Ag 2.96-3.08
Ag  0.3812  0.3812  0.8565  1 Mg 2.96, 3 Tm 3.06, 3 Sm 3.14
Ag  0.8743  0.8743  0.3771  4 Tm 3.01-3.06, 3 Mg 3.08, 1 Sm 3.14
Ag  0.1257  0.1257  0.6229  4 Tm 3.01-3.06, 3 Mg 3.08, 1 Sm 3.14
Ag  0.6188  0.6188  0.1435  1 Mg 2.96, 3 Tm 3.06, 3 Sm 3.14



Record 5
A relaxed structure of Sm2MgZn2Ag5. Source: Alexandria, functional PBE.

## Properties
- Theoretical density: 8.0 g/cm³
- Volume: 20.768 Å³/atom
- Size of the total moment: 0.0 μB per formula unit
- Formation energy: -0.2041 eV/atom

Cell: 4.1327 10.0253 10.0253 Å, 90.00 90.00 90.00°
Last column: nearest neighbours and their distance in Å.
Atoms (fractional coordinates):
Sm  0.0000  0.6772  0.1772  3 Zn 2.90-3.02
Sm  0.0000  0.3228  0.8228  3 Zn 2.90-3.02
Sm  0.0000  0.1772  0.3228  3 Zn 2.90-3.02
Sm  0.0000  0.8228  0.6772  3 Zn 2.90-3.02
Mg  0.0000  0.0000  0.0000  8 Ag 2.97
Mg  0.0000  0.5000  0.5000  8 Ag 2.97
Zn  0.0000  0.1185  0.6185  6 Ag 2.66-2.79, 1 Sm 2.90
Zn  0.0000  0.8815  0.3815  6 Ag 2.66-2.79, 1 Sm 2.90
Zn  0.0000  0.6185  0.8815  6 Ag 2.66-2.79, 1 Sm 2.90
Zn  0.0000  0.3815  0.1185  6 Ag 2.66-2.79, 1 Sm 2.90
Ag  0.5000  0.2047  0.0573  2 Zn 2.79, 2 Mg 2.97, 3 Ag 3.01-3.02
Ag  0.5000  0.7953  0.9427  2 Zn 2.79, 2 Mg 2.97, 3 Ag 3.01-3.02
Ag  0.5000  0.0573  0.7953  2 Zn 2.79, 2 Mg 2.97, 3 Ag 3.01-3.02
Ag  0.5000  0.7047  0.4427  2 Zn 2.79, 2 Mg 2.97, 3 Ag 3.01-3.02
Ag  0.5000  0.9427  0.2047  2 Zn 2.79, 2 Mg 2.97, 3 Ag 3.01-3.02
Ag  0.5000  0.2953  0.5573  2 Zn 2.79, 2 Mg 2.97, 3 Ag 3.01-3.02
Ag  0.5000  0.5573  0.7047  2 Zn 2.79, 2 Mg 2.97, 3 Ag 3.01-3.02
Ag  0.5000  0.4427  0.2953  2 Zn 2.79, 2 Mg 2.97, 3 Ag 3.01-3.02
Ag  0.5000  0.5000  0.0000  4 Zn 2.66
Ag  0.5000  0.0000  0.5000  4 Zn 2.66



Record 6
A relaxed structure of Sm4MgZn2Ag. Source: Alexandria, functional PBE.

## Properties
- Theoretical density: 7.0 g/cm³
- Volume: 25.489 Å³/atom
- Size of the total moment: 0.0 μB per formula unit
- Formation energy: -0.2455 eV/atom

Cell: 5.2384 5.2384 9.0979 Å, 73.27 73.27 60.00°
Last column: nearest neighbours and their distance in Å.
Atoms (fractional coordinates):
Sm  0.3782  0.3782  0.8655  4 Zn 3.12-3.13, 1 Ag 3.14, 3 Mg 3.24
Sm  0.8728  0.8728  0.3816  3 Ag 3.19, 1 Mg 3.27, 4 Zn 3.30-3.34
Sm  0.1272  0.1272  0.6184  3 Ag 3.19, 1 Mg 3.27, 4 Zn 3.30-3.34
Sm  0.6218  0.6218  0.1345  4 Zn 3.12-3.13, 1 Ag 3.14, 3 Mg 3.24
Mg  0.0000  0.0000  0.0000  8 Sm 3.24-3.27, 6 Zn 3.61
Zn  0.7429  0.7429  0.7713  8 Sm 3.12-3.34
Zn  0.2571  0.2571  0.2287  8 Sm 3.12-3.34
Ag  0.5000  0.5000  0.5000  8 Sm 3.14-3.19



Record 7
A relaxed structure of Mg2Ag2Sn. Source: Alexandria, functional PBE.

## Properties
- Theoretical density: 5.8 g/cm³
- Volume: 22.124 Å³/atom
- Size of the total moment: 0.0 μB per formula unit
- Formation energy: 0.0291 eV/atom
- E above lowest polymorph: 180 meV/atom

Cell: 4.1225 4.1225 7.1321 Å, 73.20 73.20 90.00°
Last column: nearest neighbours and their distance in Å.
Atoms (fractional coordinates):
Mg  0.7500  0.2500  0.5000  4 Ag 2.79, 4 Mg 2.92
Mg  0.2500  0.7500  0.5000  4 Ag 2.79, 4 Mg 2.92
Sn  0.0000  0.0000  0.0000  8 Ag 3.22
Ag  0.3944  0.3944  0.2113  1 Ag 2.75, 4 Mg 2.79
Ag  0.6056  0.6056  0.7887  1 Ag 2.75, 4 Mg 2.79



Record 8
A relaxed structure of Mg2Ag2Sn. Source: Alexandria, functional PBE.

## Properties
- Theoretical density: 6.2 g/cm³
- Volume: 20.538 Å³/atom
- Size of the total moment: 0.0 μB per formula unit
- Formation energy: -0.1504 eV/atom
- E above lowest polymorph: 0 meV/atom

Cell: 7.8569 7.8569 3.3271 Å, 90.00 90.00 90.00°
Last column: nearest neighbours and their distance in Å.
Atoms (fractional coordinates):
Mg  0.1649  0.6649  0.5000  6 Ag 2.82-2.87
Mg  0.6649  0.8351  0.5000  6 Ag 2.82-2.87
Mg  0.8351  0.3351  0.5000  6 Ag 2.82-2.87
Mg  0.3351  0.1649  0.5000  6 Ag 2.82-2.87
Sn  0.0000  0.0000  0.0000  4 Ag 3.08, 2 Sn 3.33, 8 Mg 3.37
Sn  0.5000  0.5000  0.0000  4 Ag 3.08, 2 Sn 3.33, 8 Mg 3.37
Ag  0.3693  0.8693  0.0000  6 Mg 2.82-2.87, 1 Ag 2.90, 2 Sn 3.08
Ag  0.8693  0.6307  0.0000  6 Mg 2.82-2.87, 1 Ag 2.90, 2 Sn 3.08
Ag  0.6307  0.1307  0.0000  6 Mg 2.82-2.87, 1 Ag 2.90, 2 Sn 3.08
Ag  0.1307  0.3693  0.0000  6 Mg 2.82-2.87, 1 Ag 2.90, 2 Sn 3.08